Entry 1:
Material: GdMgRhPb
Method: DFT, PBE-GGA
State: relaxed

Results
- DFT formation energy (eV per atom) = -0.357

a b c (Å): 7.0647 7.0647 7.0647
angles (deg): 90.00 90.00 90.00
With the nearest neighbours (Å) after each atom.
Space group F-43m (No. 216)
Unique sites:
Gd (0.0000, 0.0000, 0.0000) (multiplicity 4)  4 Pb 3.06, 4 Rh 3.06
Mg (0.0000, 0.0000, 0.5000) (multiplicity 4)  4 Pb 3.06, 4 Rh 3.06
Rh (0.2500, 0.2500, 0.7500) (multiplicity 4)  4 Gd 3.06, 4 Mg 3.06
Pb (0.2500, 0.2500, 0.2500) (multiplicity 4)  4 Gd 3.06, 4 Mg 3.06

=====

Entry 2:
Material: MgTa2CrMo
Method: DFT, PBE-GGA
State: relaxed

Results
- DFT formation energy (eV per atom) = 1.273

a b c (Å): 4.5242 4.5242 4.7125
angles (deg): 90.00 90.00 90.00
With the nearest neighbours (Å) after each atom.
Space group P4/mmm (No. 123)
Unique sites:
Mg (0.0000, 0.0000, 0.0000) (multiplicity 1)  2 Cr 2.36
Ta (0.0000, 0.5000, 0.5000) (multiplicity 2)  2 Cr 2.26
Cr (0.0000, 0.0000, 0.5000) (multiplicity 1)  4 Ta 2.26, 2 Mg 2.36
Mo (0.5000, 0.5000, 0.0000) (multiplicity 1)  4 Mg 3.20, 8 Ta 3.27

=====

Entry 3:
Material: CoMoIr2
Method: DFT, PBE-GGA
State: relaxed

Results
- energy relative to the lowest polymorph listed for this composition (meV per atom) = 156.9
- DFT formation energy (eV per atom) = -0.028

a b c (Å): 4.1068 2.7219 10.0507
angles (deg): 90.00 90.00 90.00
With the nearest neighbours (Å) after each atom.
Space group Amm2 (No. 38)
Unique sites:
Co (0.0000, 0.0000, 0.0000) (multiplicity 2)  2 Mo 2.46, 5 Ir 2.55-2.64, 2 Co 2.72
Mo (0.5000, 0.0000, 0.8652) (multiplicity 2)  2 Co 2.46, 7 Ir 2.69-2.71, 2 Mo 2.72
Ir (0.0000, 0.0000, 0.2535) (multiplicity 2)  3 Co 2.55-2.83, 4 Mo 2.71, 2 Ir 2.72
Ir (0.5000, 0.0000, 0.5956) (multiplicity 2)  4 Co 2.64, 3 Mo 2.69-2.71, 6 Ir 2.72-2.93

=====

Entry 4:
Material: ErTmFeCo
Method: DFT, PBE-GGA
State: relaxed

Results
- DFT formation energy (eV per atom) = -0.014

a b c (Å): 6.5674 6.5674 6.5674
angles (deg): 90.00 90.00 90.00
With the nearest neighbours (Å) after each atom.
Space group F-43m (No. 216)
Unique sites:
Er (0.0000, 0.0000, 0.0000) (multiplicity 4)  4 Co 2.84, 4 Fe 2.84
Tm (0.0000, 0.0000, 0.5000) (multiplicity 4)  4 Fe 2.84, 4 Co 2.84
Fe (0.2500, 0.2500, 0.7500) (multiplicity 4)  4 Er 2.84, 4 Tm 2.84
Co (0.2500, 0.2500, 0.2500) (multiplicity 4)  4 Tm 2.84, 4 Er 2.84

=====

Entry 5:
Material: YBN2
Method: DFT, PBE-GGA
State: relaxed

Results
- raw formation energy (eV per atom) = -0.955

a b c (Å): 5.0730 5.0730 6.1398
angles (deg): 90.00 90.00 90.00
With the nearest neighbours (Å) after each atom.
Space group I-42d (No. 122)
Unique sites:
Y (0.0000, 0.0000, 0.0000) (multiplicity 4)  4 N 2.37
B (0.0000, 0.0000, 0.5000) (multiplicity 4)  4 N 1.63
N (0.1351, 0.2500, 0.6250) (multiplicity 8)  2 B 1.63

=====

Entry 6:
Material: PrDyPa
Method: DFT, PBE-GGA
State: relaxed

Results
- energy relative to the lowest polymorph listed for this composition (meV per atom) = 150.3
- DFT formation energy (eV per atom) = 0.315

a b c (Å): 5.6232 9.7258 6.6546
angles (deg): 90.00 90.00 90.00
With the nearest neighbours (Å) after each atom.
Space group Cmcm (No. 63)
Unique sites:
Pr (0.0000, 0.1672, 0.2500) (multiplicity 4)  5 Dy 3.24-3.33
Dy (0.0000, 0.1664, 0.7500) (multiplicity 4)  5 Pr 3.24-3.33
Pa (0.0000, 0.5000, 0.0000) (multiplicity 4)  2 Pa 3.33, 6 Pr 3.64-3.65, 6 Dy 3.65

=====

Sequential volume output: 353, 96, 112, 283, 158, 364 Å³ per cell
Sequential density of states at the Fermi level output: 7.61, 4.56, 8.16, 22.75, 0.00, 24.81 states/eV/cell